Arrangement i

The following is a DFT calculation (PBE) of an optimized crystal structure of BeIrIN2.

Geometry as CIF:
```
data_BeIrIN2
_chemical_formula_sum 'Be1 Ir1 I1 N2'
_cell_length_a 3.5876
_cell_length_b 3.5876
_cell_length_c 7.1195
_cell_angle_alpha 90.00
_cell_angle_beta 90.00
_cell_angle_gamma 90.00
_space_group_name_H-M_alt 'P 4/m m m'
_space_group_IT_number 123
_space_group_name_Hall '-P 4 2'
loop_
_atom_site_label
_atom_site_type_symbol
_atom_site_fract_x
_atom_site_fract_y
_atom_site_fract_z
Be1 Be 0.0000 0.0000 0.0000
Ir1 Ir 0.5000 0.5000 0.5000
I1 I 0.0000 0.0000 0.5000
N1 N 0.0000 0.5000 0.0000
```

Computed properties:
Crystal system: tetragonal
Total moment (μB/f.u.): 2.09
Theoretical density (Mg/m³): 6.454

***

Arrangement ii

The following is a DFT calculation (PBE) of an optimized crystal structure of BeIrIN2.

Geometry as CIF:
```
data_BeIrIN2
_chemical_formula_sum 'Be1 Ir1 I1 N2'
_cell_length_a 3.7291
_cell_length_b 3.7291
_cell_length_c 8.1512
_cell_angle_alpha 90.00
_cell_angle_beta 90.00
_cell_angle_gamma 90.00
_space_group_name_H-M_alt 'P 4/m m m'
_space_group_IT_number 123
_space_group_name_Hall '-P 4 2'
loop_
_atom_site_label
_atom_site_type_symbol
_atom_site_fract_x
_atom_site_fract_y
_atom_site_fract_z
Be1 Be 0.0000 0.0000 0.0000
Ir1 Ir 0.5000 0.5000 0.5000
I1 I 0.5000 0.5000 0.0000
N1 N 0.0000 0.5000 0.5000
```

Computed properties:
Crystal system: tetragonal
Total moment (μB/f.u.): 0.09
Theoretical density (Mg/m³): 5.217

***

Of them, arrangement i has the lowest stability.